# AcEr2WO8

A relaxed structure of AcEr2WO8 (PBE+U, Alexandria via LeMat-Bulk).

Results
Raw total energy ... -94.386 eV for the cell shown

Unit cell a=5.0181 b=5.0181 c=7.1552 alpha=90.00 beta=90.00 gamma=90.41
Positions (direct):
Ac  0.0000  0.0000  0.0000
Er  0.5000  0.5000  0.2675
Er  0.5000  0.5000  0.7325
W  0.0000  0.0000  0.5000
O  0.1873  0.8127  0.3005
O  0.1873  0.8127  0.6995
O  0.2796  0.2796  0.5000
O  0.3308  0.3308  0.0000
O  0.6692  0.6692  0.0000
O  0.7204  0.7204  0.5000
O  0.8127  0.1873  0.3005
O  0.8127  0.1873  0.6995